# 1
Here is Tb5Pr2SmMg after structural relaxation from the Alexandria database. Energies are from PBE.

Calculated values
D(E_F): 24.85 states/eV per cell
Calculated formation energy: 92 meV per atom

Cell lengths 5.517, 10.455, 10.614 Å; angles 90.00, 90.00, 105.30 degrees
Atoms (fractional coordinates):
1 Tb 0.501 0.001 0.258
2 Tb 0.290 0.580 0.707
3 Sm 0.797 0.594 0.509
4 Pr 0.884 0.769 0.799
5 Mg 0.406 0.812 0.506
6 Sm 0.203 0.406 0.009
7 Pr 0.116 0.231 0.718
8 Tb 0.987 0.974 0.509
9 Tb 0.499 0.999 0.758
10 Pr 0.116 0.231 0.299
11 Tb 0.710 0.420 0.207
12 Tb 0.383 0.766 0.009
13 Tb 0.013 0.026 0.009
14 Mg 0.594 0.188 0.006
15 Tb 0.711 0.422 0.810
16 Tb 0.289 0.578 0.310
17 Tb 0.617 0.234 0.509
18 Pr 0.884 0.769 0.218

# 2
Here is Tb6PrSm2Mg after structural relaxation from the Alexandria database. Energies are from PBE.

Calculated values
D(E_F): 30.00 states/eV per cell
Calculated formation energy: 109 meV per atom

Cell lengths 6.685, 10.998, 10.998 Å; angles 125.76, 85.80, 85.80 degrees
Atoms (fractional coordinates):
1 Tb 0.780 0.435 0.915
2 Tb 0.019 0.700 0.524
3 Tb 0.220 0.565 0.085
4 Tb 0.531 0.792 0.085
5 Sm 0.998 0.349 0.184
6 Mg 0.250 0.292 0.708
7 Tb 0.280 0.915 0.435
8 Tb 0.720 0.085 0.565
9 Pr 0.250 0.992 0.008
10 Pr 0.750 0.008 0.992
11 Sm 0.002 0.651 0.816
12 Mg 0.750 0.708 0.292
13 Tb 0.519 0.524 0.700
14 Sm 0.498 0.184 0.349
15 Tb 0.469 0.208 0.915
16 Tb 0.981 0.300 0.476
17 Tb 0.969 0.915 0.208
18 Tb 0.481 0.476 0.300
19 Sm 0.502 0.816 0.651
20 Tb 0.031 0.085 0.792

# 3
Here is Tb3Pr6Sm2Mg after structural relaxation from the Alexandria database. Energies are from PBE.

Calculated values
D(E_F): 12.95 states/eV per cell
Calculated formation energy: 14 meV per atom

Cell lengths 6.298, 6.298, 11.938 Å; angles 95.05, 95.05, 120.04 degrees
Atoms (fractional coordinates):
1 Pr 0.752 0.752 0.251
2 Tb 0.500 0.500 0.500
3 Pr 0.917 0.586 0.750
4 Pr 0.586 0.917 0.750
5 Pr 0.083 0.414 0.250
6 Pr 0.414 0.083 0.250
7 Pr 0.248 0.248 0.749
8 Mg 0.000 0.000 0.000
9 Sm 0.667 0.333 0.000
10 Tb 0.166 0.834 0.500
11 Tb 0.834 0.166 0.500
12 Sm 0.333 0.667 0.000

# 4
Here is TbPrSm2Mg after structural relaxation from the Alexandria database. Energies are from PBE.

Calculated values
D(E_F): 14.25 states/eV per cell
Calculated formation energy: 18 meV per atom

Cell lengths 5.688, 6.224, 9.562 Å; angles 70.78, 90.00, 90.00 degrees
Atoms (fractional coordinates):
1 Mg 0.750 0.581 0.191
2 Sm 0.750 0.751 0.798
3 Pr 0.250 0.645 0.390
4 Tb 0.750 0.168 0.998
5 Sm 0.250 0.249 0.202
6 Pr 0.750 0.355 0.610
7 Tb 0.250 0.832 0.002
8 Sm 0.750 0.983 0.393
9 Mg 0.250 0.419 0.809
10 Sm 0.250 0.017 0.607

# 5
Here is TbPr6Sm2Mg after structural relaxation from the Alexandria database. Energies are from PBE.

Calculated values
D(E_F): 30.03 states/eV per cell
Calculated formation energy: 109 meV per atom

Cell lengths 9.941, 8.820, 8.820 Å; angles 115.19, 95.48, 95.48 degrees
Atoms (fractional coordinates):
1 Pr 0.693 0.001 0.571
2 Pr 0.949 0.881 0.249
3 Pr 0.387 0.496 0.302
4 Tb 0.750 0.017 0.983
5 Pr 0.807 0.429 0.999
6 Sm 0.555 0.198 0.288
7 Pr 0.613 0.504 0.698
8 Tb 0.250 0.983 0.017
9 Pr 0.113 0.698 0.504
10 Pr 0.887 0.302 0.496
11 Pr 0.307 0.999 0.429
12 Mg 0.250 0.404 0.596
13 Pr 0.051 0.119 0.751
14 Sm 0.055 0.288 0.198
15 Mg 0.750 0.596 0.404
16 Pr 0.551 0.751 0.119
17 Pr 0.449 0.249 0.881
18 Pr 0.193 0.571 0.001
19 Sm 0.945 0.712 0.802
20 Sm 0.445 0.802 0.712

# 6
Here is Tb2Pr6SmMg after structural relaxation from the Alexandria database. Energies are from PBE.

Calculated values
D(E_F): 27.59 states/eV per cell
Calculated formation energy: 102 meV per atom

Cell lengths 9.543, 8.701, 8.701 Å; angles 105.72, 96.12, 96.12 degrees
Atoms (fractional coordinates):
1 Pr 0.096 0.672 0.438
2 Pr 0.828 0.461 0.033
3 Pr 0.076 0.079 0.742
4 Pr 0.404 0.562 0.328
5 Pr 0.424 0.258 0.921
6 Pr 0.576 0.742 0.079
7 Pr 0.924 0.921 0.258
8 Pr 0.328 0.033 0.461
9 Sm 0.750 0.064 0.936
10 Tb 0.406 0.800 0.733
11 Pr 0.672 0.967 0.539
12 Mg 0.250 0.402 0.598
13 Pr 0.172 0.539 0.967
14 Tb 0.094 0.267 0.200
15 Sm 0.250 0.936 0.064
16 Pr 0.596 0.438 0.672
17 Tb 0.594 0.200 0.267
18 Mg 0.750 0.598 0.402
19 Pr 0.904 0.328 0.562
20 Tb 0.906 0.733 0.800

# 7
Here is Tb2Pr2Sm4Mg after structural relaxation from the Alexandria database. Energies are from PBE.

Calculated values
D(E_F): 11.12 states/eV per cell
Calculated formation energy: 133 meV per atom

Cell lengths 7.173, 8.651, 7.039 Å; angles 109.58, 123.83, 99.23 degrees
Atoms (fractional coordinates):
1 Sm 0.784 0.781 0.413
2 Sm 0.216 0.219 0.587
3 Pr 0.348 0.823 0.530
4 Tb 0.176 0.646 0.839
5 Tb 0.824 0.354 0.161
6 Pr 0.652 0.177 0.470
7 Mg 0.000 0.000 0.000
8 Sm 0.700 0.606 0.846
9 Sm 0.300 0.394 0.154

# 8
Here is Tb6Pr3Sm2Mg after structural relaxation from the Alexandria database. Energies are from PBE.

Calculated values
D(E_F): 17.65 states/eV per cell
Calculated formation energy: 27 meV per atom

Cell lengths 6.216, 6.216, 11.890 Å; angles 95.02, 95.02, 120.04 degrees
Atoms (fractional coordinates):
1 Mg 0.000 0.000 0.000
2 Tb 0.250 0.250 0.753
3 Pr 0.500 0.500 0.500
4 Tb 0.919 0.587 0.754
5 Sm 0.334 0.666 0.000
6 Tb 0.587 0.919 0.754
7 Tb 0.750 0.750 0.247
8 Tb 0.081 0.413 0.246
9 Pr 0.834 0.166 0.500
10 Sm 0.666 0.334 0.000
11 Tb 0.413 0.081 0.246
12 Pr 0.166 0.834 0.500

# 9
Here is Tb6Pr2SmMg after structural relaxation from the Alexandria database. Energies are from PBE.

Calculated values
D(E_F): 28.53 states/eV per cell
Calculated formation energy: 101 meV per atom

Cell lengths 6.689, 11.063, 11.063 Å; angles 126.24, 85.81, 85.81 degrees
Atoms (fractional coordinates):
1 Tb 0.778 0.437 0.916
2 Tb 0.017 0.706 0.528
3 Tb 0.029 0.089 0.794
4 Tb 0.529 0.794 0.089
5 Tb 0.517 0.528 0.706
6 Sm 0.250 0.993 0.007
7 Tb 0.983 0.294 0.472
8 Tb 0.971 0.911 0.206
9 Tb 0.222 0.563 0.084
10 Mg 0.750 0.707 0.293
11 Pr 0.998 0.351 0.187
12 Tb 0.278 0.916 0.437
13 Sm 0.750 0.007 0.993
14 Pr 0.498 0.187 0.351
15 Pr 0.002 0.649 0.813
16 Pr 0.502 0.813 0.649
17 Tb 0.483 0.472 0.294
18 Tb 0.722 0.084 0.563
19 Tb 0.471 0.206 0.911
20 Mg 0.250 0.293 0.707

# 10
Here is Tb3Pr2Sm6Mg after structural relaxation from the Alexandria database. Energies are from PBE.

Calculated values
D(E_F): 15.27 states/eV per cell
Calculated formation energy: 13 meV per atom

Cell lengths 6.230, 6.230, 11.910 Å; angles 95.03, 95.03, 120.02 degrees
Atoms (fractional coordinates):
1 Tb 0.834 0.166 0.500
2 Tb 0.166 0.834 0.500
3 Tb 0.500 0.500 0.500
4 Sm 0.753 0.753 0.253
5 Sm 0.247 0.247 0.747
6 Sm 0.586 0.917 0.748
7 Pr 0.333 0.667 0.000
8 Mg 0.000 0.000 0.000
9 Pr 0.667 0.333 0.000
10 Sm 0.414 0.083 0.252
11 Sm 0.083 0.414 0.252
12 Sm 0.917 0.586 0.748

# 11
Here is Tb2Pr4SmMg after structural relaxation from the Alexandria database. Energies are from PBE.

Calculated values
D(E_F): 11.36 states/eV per cell
Calculated formation energy: 57 meV per atom

Cell lengths 5.843, 5.852, 9.753 Å; angles 53.10, 90.00, 90.00 degrees
Atoms (fractional coordinates):
1 Sm 0.500 0.500 0.000
2 Mg 0.000 0.500 0.500
3 Pr 0.500 0.735 0.265
4 Pr 0.000 0.237 0.264
5 Tb 0.000 0.000 0.000
6 Tb 0.500 0.000 0.500
7 Pr 0.500 0.265 0.735
8 Pr 0.000 0.763 0.736

# 12
Here is Tb2Pr2Sm2Mg after structural relaxation from the Alexandria database. Energies are from PBE.

Calculated values
D(E_F): 10.72 states/eV per cell
Calculated formation energy: 88 meV per atom

Cell lengths 3.567, 6.184, 11.833 Å; angles 111.29, 90.00, 106.76 degrees
Atoms (fractional coordinates):
1 Tb 0.670 0.340 0.084
2 Mg 0.000 0.000 0.500
3 Pr 0.453 0.906 0.237
4 Sm 0.763 0.525 0.637
5 Pr 0.547 0.094 0.763
6 Tb 0.330 0.660 0.916
7 Sm 0.237 0.475 0.363